Here is an optimized crystal structure of Sm2Er3Tl6 from Alexandria via LeMat-Bulk. Energies are from PBE.

D(E_F)	1.174	states/eV per atom
raw total energy	-0.1188	Ha/atom

Lattice parameters (Å, degrees): 5.919 5.919 22.380 90.00 90.00 90.00
Space group I4/mmm (No. 139)
Inequivalent atoms, fractional coordinates:
Sm  0.000  0.000  0.080 (multiplicity 4)
Er  0.000  0.000  0.358 (multiplicity 4)
Er  0.000  0.000  0.500 (multiplicity 2)
Tl  0.000  0.000  0.220 (multiplicity 4)
Tl  0.000  0.500  0.073 (multiplicity 8)